{
  "formula": "ZrScV",
  "functional": "GGA-PBE",
  "state": "relaxed",
  "relative_energy_ev_per_atom": 0.0000,
  "magmom_total_mub_per_cell": 3.5,
  "ef_mev_per_atom": 183,
  "space_group": "I4mm (107)",
  "cell": [[3.4253, 0.0000, 0.0000], [0.0000, 3.4253, 0.0000], [0.0000, 0.0000, 10.5682]],
  "species": ["Zr", "Zr", "Sc", "Sc", "V", "V"],
  "frac_coords": [[0.0000, 0.0000, 0.0000], [0.5000, 0.5000, 0.5000], [0.0000, 0.0000, 0.2949], [0.5000, 0.5000, 0.7949], [0.0000, 0.0000, 0.6367], [0.5000, 0.5000, 0.1367]]
}

{
  "formula": "Cs5Ac2Br12",
  "functional": "GGA-PBE",
  "state": "relaxed",
  "relative_energy_ev_per_atom": 0.0000,
  "magmom_total_mub_per_cell": 0.0,
  "space_group": "C2/m (12)",
  "cell": [[8.9691, -5.4186, 0.0000], [8.9691, 5.4186, 0.0000], [-2.0104, 0.0000, 8.9308]],
  "species": ["Cs", "Cs", "Cs", "Cs", "Cs", "Ac", "Ac", "Br", "Br", "Br", "Br", "Br", "Br", "Br", "Br", "Br", "Br", "Br", "Br"],
  "frac_coords": [[0.0000, 0.0000, 0.0000], [0.2496, 0.2496, 0.4928], [0.3615, 0.3615, 0.9743], [0.6385, 0.6385, 0.0257], [0.7504, 0.7504, 0.5072], [0.2488, 0.7512, 0.5000], [0.7512, 0.2488, 0.5000], [0.0805, 0.0805, 0.6604], [0.0971, 0.6922, 0.7239], [0.1513, 0.5433, 0.2752], [0.3078, 0.9029, 0.2761], [0.4567, 0.8487, 0.7248], [0.4650, 0.4650, 0.6706], [0.5350, 0.5350, 0.3294], [0.5433, 0.1513, 0.2752], [0.6922, 0.0971, 0.7239], [0.8487, 0.4567, 0.7248], [0.9029, 0.3078, 0.2761], [0.9195, 0.9195, 0.3396]]
}

{
  "formula": "KInRu",
  "functional": "GGA-PBE",
  "state": "relaxed",
  "relative_energy_ev_per_atom": 0.4933,
  "magmom_total_mub_per_cell": 0.3,
  "ef_mev_per_atom": 919,
  "space_group": "F-43m (216)",
  "cell": [[6.7500, 0.0000, 0.0000], [0.0000, 6.7500, 0.0000], [0.0000, 0.0000, 6.7500]],
  "species": ["K", "K", "K", "K", "In", "In", "In", "In", "Ru", "Ru", "Ru", "Ru"],
  "frac_coords": [[0.0000, 0.0000, 0.0000], [0.0000, 0.5000, 0.5000], [0.5000, 0.0000, 0.5000], [0.5000, 0.5000, 0.0000], [0.0000, 0.0000, 0.5000], [0.0000, 0.5000, 0.0000], [0.5000, 0.0000, 0.0000], [0.5000, 0.5000, 0.5000], [0.2500, 0.2500, 0.2500], [0.2500, 0.7500, 0.7500], [0.7500, 0.2500, 0.7500], [0.7500, 0.7500, 0.2500]]
}

{
  "formula": "BeHg2Br",
  "functional": "GGA-PBE",
  "state": "relaxed",
  "relative_energy_ev_per_atom": 0.0389,
  "magmom_total_mub_per_cell": 0.0,
  "space_group": "Pm (6)",
  "cell": [[3.5256, 0.0000, 0.0000], [0.0000, 3.2941, 0.0000], [-0.1246, 0.0000, 8.9917]],
  "species": ["Be", "Hg", "Hg", "Br"],
  "frac_coords": [[0.0000, 0.0000, 0.0000], [0.5045, 0.5000, 0.1450], [0.5106, 0.0000, 0.4591], [0.9941, 0.5000, 0.8299]]
}

{
  "formula": "Ba2FeMo",
  "functional": "GGA-PBE",
  "state": "relaxed",
  "relative_energy_ev_per_atom": 0.0362,
  "magmom_total_mub_per_cell": 2.1,
  "ef_mev_per_atom": 718,
  "space_group": "Amm2 (38)",
  "cell": [[3.7639, 0.0000, 0.0000], [0.0000, 5.2487, 0.0000], [0.0000, 0.0000, 12.6464]],
  "species": ["Ba", "Ba", "Ba", "Ba", "Fe", "Fe", "Mo", "Mo"],
  "frac_coords": [[0.0000, 0.0000, 0.0000], [0.0000, 0.5000, 0.5000], [0.5000, 0.0000, 0.2788], [0.5000, 0.5000, 0.7788], [0.0000, 0.0000, 0.6914], [0.0000, 0.5000, 0.1914], [0.5000, 0.0000, 0.5917], [0.5000, 0.5000, 0.0917]]
}

{
  "formula": "LiNp2In8",
  "functional": "GGA-PBE",
  "state": "relaxed",
  "magmom_total_mub_per_cell": 8.5,
  "ef_mev_per_atom": -37,
  "space_group": "P4/mmm (123)",
  "cell": [[4.6940, 0.0000, 0.0000], [0.0000, 4.6940, 0.0000], [0.0000, 0.0000, 12.2451]],
  "species": ["Li", "Np", "Np", "In", "In", "In", "In", "In", "In", "In", "In"],
  "frac_coords": [[0.0000, 0.0000, 0.0000], [0.0000, 0.0000, 0.3117], [0.0000, 0.0000, 0.6883], [0.0000, 0.5000, 0.1275], [0.0000, 0.5000, 0.5000], [0.0000, 0.5000, 0.8725], [0.5000, 0.0000, 0.1275], [0.5000, 0.0000, 0.5000], [0.5000, 0.0000, 0.8725], [0.5000, 0.5000, 0.3109], [0.5000, 0.5000, 0.6891]]
}